# 1
Zn2GeAs4Pd | GGA-PBE | relaxed

Lattice parameters (Å, degrees): 7.073 7.073 7.073 133.06 133.06 68.55
Positions (direct):
As1 0.121 0.619 0.990
As2 0.630 0.131 0.010
As3 0.381 0.370 0.501
As4 0.869 0.879 0.499
Zn1 0.500 0.500 0.000
Zn2 0.250 0.750 0.500
Ge1 0.000 0.000 0.000
Pd1 0.750 0.250 0.500

Values from the calculation:
Uncorrected energy ... -0.1445 hartree per atom
SG ... I-4

---

# 2
SmGdPt | GGA-PBE | relaxed

Lattice parameters (Å, degrees): 7.240 4.840 8.959 90.00 90.00 90.00
Positions (direct):
Gd1 0.493 0.750 0.666
Gd2 0.507 0.250 0.334
Gd3 0.007 0.250 0.166
Gd4 0.993 0.750 0.834
Sm1 0.355 0.750 0.085
Sm2 0.645 0.250 0.915
Sm3 0.145 0.250 0.585
Sm4 0.855 0.750 0.415
Pt1 0.237 0.250 0.910
Pt2 0.763 0.750 0.090
Pt3 0.737 0.250 0.590
Pt4 0.263 0.750 0.410

Values from the calculation:
Spin magnetization ... 0.01 μB/f.u.
E_form ... -2.63 eV per formula unit
SG ... Pnma

---

# 3
TbSmS2 | GGA-PBE | relaxed

Lattice parameters (Å, degrees): 3.963 3.963 5.606 90.00 90.00 90.00
Positions (direct):
S1 0.000 0.000 0.500
S2 0.500 0.500 0.000
Sm1 0.000 0.000 0.000
Tb1 0.500 0.500 0.500

Values from the calculation:
Spin magnetization ... 0.01 μB/f.u.
Uncorrected energy ... -0.2356 hartree per atom
SG ... P4/mmm

---

# 4
Tb3Si4Pd | GGA-PBE | relaxed

Lattice parameters (Å, degrees): 5.726 3.817 7.526 90.00 96.75 90.00
Positions (direct):
Tb1 0.166 0.500 0.703
Tb2 0.878 0.000 0.331
Tb3 0.360 0.500 0.180
Si1 0.651 0.500 0.551
Si2 0.381 0.000 0.475
Si3 0.813 0.500 0.014
Si4 0.064 0.000 0.974
Pd1 0.688 0.000 0.772

Values from the calculation:
Spin magnetization ... 0.01 μB/f.u.
Uncorrected energy ... -0.2125 hartree per atom
SG ... Pm

---

# 5
RbErSO | GGA-PBE | relaxed

Lattice parameters (Å, degrees): 3.700 3.700 14.358 90.00 90.00 120.00
Positions (direct):
Rb1 0.667 0.333 0.743
Rb2 0.333 0.667 0.243
S1 0.667 0.333 0.404
S2 0.333 0.667 0.904
O1 0.333 0.667 0.585
O2 0.667 0.333 0.085
Er1 0.000 0.000 0.018
Er2 0.000 0.000 0.518

Values from the calculation:
Spin magnetization ... 0.00 μB/f.u.
Uncorrected energy ... -0.2148 hartree per atom
SG ... P6_3mc

---

# 6
Sm6Mg23C | GGA-PBE | relaxed

Lattice parameters (Å, degrees): 10.128 10.128 10.128 60.00 60.00 60.00
Positions (direct):
C1 0.000 0.000 0.000
Mg1 0.170 0.489 0.170
Mg2 0.170 0.170 0.170
Mg3 0.380 0.380 0.860
Mg4 0.000 0.500 0.000
Mg5 0.380 0.860 0.380
Mg6 0.489 0.170 0.170
Mg7 0.620 0.620 0.140
Mg8 0.830 0.830 0.511
Mg9 0.620 0.140 0.620
Mg10 0.860 0.380 0.380
Mg11 0.511 0.830 0.830
Mg12 0.500 0.500 0.500
Mg13 0.500 0.000 0.000
Mg14 0.500 0.000 0.500
Mg15 0.830 0.511 0.830
Mg16 0.000 0.000 0.500
Mg17 0.170 0.170 0.489
Mg18 0.380 0.380 0.380
Mg19 0.620 0.620 0.620
Mg20 0.140 0.620 0.620
Mg21 0.000 0.500 0.500
Mg22 0.500 0.500 0.000
Mg23 0.830 0.830 0.830
Sm1 0.181 0.819 0.181
Sm2 0.819 0.181 0.181
Sm3 0.181 0.819 0.819
Sm4 0.181 0.181 0.819
Sm5 0.819 0.819 0.181
Sm6 0.819 0.181 0.819

Values from the calculation:
Spin magnetization ... 0.11 μB/f.u.
Uncorrected energy ... -0.0931 hartree per atom
SG ... Fm-3m

---

# 7
AlCoNiW | GGA-PBE | relaxed

Lattice parameters (Å, degrees): 4.156 4.156 4.156 60.00 60.00 60.00
Positions (direct):
Ni1 0.500 0.500 0.500
Co1 0.750 0.750 0.750
W1 0.250 0.250 0.250
Al1 0.000 0.000 0.000

Values from the calculation:
Spin magnetization ... 0.10 μB/f.u.
Uncorrected energy ... -0.2680 hartree per atom
SG ... F-43m

---

# 8
Li2BeFeP2 | GGA-PBE | relaxed

Lattice parameters (Å, degrees): 3.507 3.507 6.073 90.00 90.00 90.00
Each line ends with the local moment (μB).
Positions (direct):
Fe1 0.500 0.500 0.000  1.48
Li1 0.000 0.500 0.351  0.00
Li2 0.500 0.000 0.649  0.02
P1 0.500 0.000 0.228  0.03
P2 0.000 0.500 0.772  0.04
Be1 0.000 0.000 0.000  0.01

Values from the calculation:
Spin magnetization ... 1.80 μB/f.u.
Uncorrected energy ... -0.1821 hartree per atom
SG ... P-4m2